Entry from the Alexandria database: a relaxed NaV2S2 crystal (PBE).

It has space group I4/mmm (No. 139), with a = 4.616 Å, b = 4.616 Å, c = 7.651 Å, α = 90.00°, β = 90.00° and γ = 90.00°. The distinct sites, in fractional coordinates, are Na at (0.000, 0.000, 0.000), V at (0.000, 0.000, 0.373) and S at (0.000, 0.500, 0.250).

The offset from the most stable computed form comes out at 348 meV per atom. The energy relative to the elements, uncorrected is -2.7 eV/f.u. The total energy comes out at -30.47 eV per formula unit. As for the density of states at the Fermi level: 0.3803 states/eV/atom.